Compound: Mn2InRuN
Source: the Alexandria database
Functional: SCAN
Structure: single point on PBEsol structure

Structure (POSCAR):
```
Mn2InRuN
1.0
4.900 0.000 0.000
0.000 4.900 0.000
0.000 0.000 4.840
Mn In Ru N
2 1 1 1
direct
0.000 0.500 0.000
0.500 0.000 0.000
0.000 0.000 0.000
0.000 0.000 0.500
0.500 0.500 0.500
```

## Properties
ΔE_f (raw) = 2.26 eV/atom
Spin magnetization = 2.46 μB/atom